Entry A
Density functional theory data (PBE) for crystalline MnTl2Si at its relaxed geometry.

It has space group Fm-3m (No. 225), with a = 6.892 Å, b = 6.892 Å, c = 6.892 Å, α = 90.00°, β = 90.00° and γ = 90.00°. Symmetry generates all atoms from Mn at (0.000, 0.000, 0.000), Tl at (0.250, 0.250, 0.250) and Si at (0.000, 0.000, 0.500).

The density of states at the Fermi level comes out at 33.806 states/eV per cell. Its volume is 327.43 Å³/cell.

***

Entry B
Density functional theory data (PBE) for crystalline MnTl2Si at its relaxed geometry.

It has space group Immm (No. 71), with a = 3.441 Å, b = 5.218 Å, c = 9.975 Å, α = 90.00°, β = 90.00° and γ = 90.00°. Symmetry generates all atoms from Mn at (0.000, 0.000, 0.000), Tl at (0.000, 0.500, 0.251) and Si at (0.000, 0.000, 0.500).

The density of states at the Fermi level comes out at 4.541 states/eV per cell. Its volume is 179.13 Å³/cell.

***

Entry C
Density functional theory data (PBE) for crystalline MnTl2Si at its relaxed geometry.

It has space group P4/mmm (No. 123), with a = 4.532 Å, b = 4.532 Å, c = 4.264 Å, α = 90.00°, β = 90.00° and γ = 90.00°. Symmetry generates all atoms from Mn at (0.000, 0.000, 0.000), Tl at (0.000, 0.500, 0.500) and Si at (0.500, 0.500, 0.000).

The density of states at the Fermi level comes out at 2.323 states/eV per cell. Its volume is 87.60 Å³/cell.

***

Entry D
Density functional theory data (PBE) for crystalline MnTl2Si at its relaxed geometry.

It has space group Cmmm (No. 65), with a = 4.631 Å, b = 4.659 Å, c = 8.132 Å, α = 90.00°, β = 90.00° and γ = 90.00°. Symmetry generates all atoms from Mn at (0.000, 0.000, 0.000), Tl at (0.000, 0.500, 0.241) and Si at (0.000, 0.000, 0.500).

The density of states at the Fermi level comes out at 5.372 states/eV per cell. Its volume is 175.43 Å³/cell.

***

entry C is preferred energetically. Next in line: 0.018 eV/atom higher.